## BeC3I (SCAN)

Data for a crystal of BeC3I relaxed with PBEsol.

Structure (POSCAR):
```
BeC3I
1.0
4.076 0.000 0.000
0.000 4.076 0.000
0.000 0.000 4.076
Be C I
1 3 1
direct
0.000 0.000 0.000
0.000 0.500 0.500
0.500 0.000 0.500
0.500 0.500 0.000
0.500 0.500 0.500
```

Properties
Symmetry = Pm-3m, No. 221
Fermi-level density of states = 0.56 states/eV/atom
ΔE_f (raw) = 3.850 eV per atom
DFT total energy = -10.4293 eV/atom